(1)
Here is an optimized crystal structure of Pb2WBr from the Alexandria database. Energies are from GGA-PBE.

Cell and atoms, written as CIF:
```
data_Pb2WBr
_cell_length_a 3.412
_cell_length_b 4.925
_cell_length_c 6.545
_cell_angle_alpha 90.00
_cell_angle_beta 90.00
_cell_angle_gamma 90.00
_symmetry_space_group_name_H-M 'P m m m'
_symmetry_Int_Tables_number 47
loop_
_symmetry_equiv_pos_as_xyz
'x,y,z'
'-x,-y,-z'
'-x,-y,z'
'x,y,-z'
'x,-y,-z'
'-x,y,z'
'-x,y,-z'
'x,-y,z'
loop_
_atom_site_label
_atom_site_fract_x
_atom_site_fract_y
_atom_site_fract_z
_atom_site_occupancy
Pb1 0.000 0.000 0.000 1
Pb2 0.500 0.000 0.500 1
W1 0.000 0.500 0.500 1
Br1 0.500 0.500 0.000 1
```

The calculation puts the formation energy (no corrections) at 1.02 eV per atom.



(2)
Here is an optimized crystal structure of LaCeS2 from the Alexandria database. Energies are from GGA-PBE.

Cell and atoms, written as CIF:
```
data_LaCeS2
_cell_length_a 4.0502
_cell_length_b 4.0502
_cell_length_c 13.7501
_cell_angle_alpha 90.00
_cell_angle_beta 90.00
_cell_angle_gamma 120.00
_symmetry_space_group_name_H-M 'P 63/m m c'
_symmetry_Int_Tables_number 194
_symmetry_space_group_name_Hall '-P 6c 2c'
loop_
_atom_site_label
_atom_site_fract_x
_atom_site_fract_y
_atom_site_fract_z
_atom_site_occupancy
La1 0.3333 0.6667 0.2500 1
Ce1 0.0000 0.0000 0.0000 1
S1 0.3333 0.6667 0.6199 1
```

The calculation puts the formation energy (no corrections) at -2.06 eV per atom.



(3)
Here is an optimized crystal structure of AlInBr2 from the Alexandria database. Energies are from GGA-PBE.

Cell and atoms, written as CIF:
```
data_AlInBr2
_cell_length_a 4.606
_cell_length_b 4.611
_cell_length_c 6.512
_cell_angle_alpha 90.00
_cell_angle_beta 90.07
_cell_angle_gamma 90.00
_symmetry_space_group_name_H-M 'P 1 2/m 1'
_symmetry_Int_Tables_number 10
loop_
_symmetry_equiv_pos_as_xyz
'x,y,z'
'-x,-y,-z'
'-x,y,-z'
'x,-y,z'
loop_
_atom_site_label
_atom_site_fract_x
_atom_site_fract_y
_atom_site_fract_z
_atom_site_occupancy
Al1 0.000 0.000 0.000 1
In1 0.500 0.500 0.500 1
Br1 0.000 0.000 0.500 1
Br2 0.500 0.500 0.000 1
```

The calculation puts the formation energy (no corrections) at -0.36 eV per atom.



(4)
Here is an optimized crystal structure of AlTl3Rh from the Alexandria database. Energies are from GGA-PBE.

Cell and atoms, written as CIF:
```
data_AlTl3Rh
_cell_length_a 5.237
_cell_length_b 5.237
_cell_length_c 5.237
_cell_angle_alpha 90.00
_cell_angle_beta 90.00
_cell_angle_gamma 90.00
_symmetry_space_group_name_H-M 'P m -3 m'
_symmetry_Int_Tables_number 221
_symmetry_space_group_name_Hall '-P 4 2 3'
loop_
_atom_site_label
_atom_site_fract_x
_atom_site_fract_y
_atom_site_fract_z
_atom_site_occupancy
Al1 0.000 0.000 0.000 1
Tl1 0.000 0.000 0.500 1
Rh1 0.500 0.500 0.500 1
```

The value obtained for the energy of formation from the pure elements is 0.886 eV per atom.



Number 1: polymorph energy (0 for the lowest one) 2.18 eV per formula unit, spin magnetization 2.71 μB/f.u.. Number 2: polymorph energy (0 for the lowest one) 0.16 eV per formula unit, spin magnetization 0.93 μB/f.u.. Number 3: polymorph energy (0 for the lowest one) 0.47 eV per formula unit, spin magnetization 0.00 μB/f.u.. Number 4: polymorph energy (0 for the lowest one) 2.94 eV per formula unit, spin magnetization 0.91 μB/f.u..